# PBE K3Li2Cl3F2, optimized geometry
data_K3Li2Cl3F2
_chemical_formula_sum 'K3 Li2 Cl3 F2'
_cell_length_a 4.2382
_cell_length_b 4.2382
_cell_length_c 12.5816
_cell_angle_alpha 99.70
_cell_angle_beta 99.70
_cell_angle_gamma 90.00
_symmetry_space_group_name_H-M 'P 1'
_symmetry_Int_Tables_number 1
loop_
_symmetry_equiv_pos_as_xyz
'x,y,z'
loop_
_atom_site_label
_atom_site_fract_x
_atom_site_fract_y
_atom_site_fract_z
K1 0.0000 0.0000 0.0000
K2 0.3620 0.3620 0.7240
K3 0.6380 0.6380 0.2760
F1 0.7500 0.2500 0.5000
F2 0.2500 0.7500 0.5000
Li1 0.7688 0.7688 0.5377
Li2 0.2312 0.2312 0.4623
Cl1 0.1295 0.1295 0.2590
Cl2 0.8705 0.8705 0.7410
Cl3 0.5000 0.5000 0.0000
# Raw formation energy   -2.2414 eV per atom
# SG   No. 139
# E   -3.882 eV/atom
# Theoretical density   2.1 g/cm3


# PBE LaMn2GaH, optimized geometry
data_LaMn2GaH
_chemical_formula_sum 'La1 Mn2 Ga1 H1'
_cell_length_a 4.7532
_cell_length_b 6.1416
_cell_length_c 4.7532
_cell_angle_alpha 90.00
_cell_angle_beta 90.00
_cell_angle_gamma 90.00
_symmetry_space_group_name_H-M 'P 1'
_symmetry_Int_Tables_number 1
loop_
_symmetry_equiv_pos_as_xyz
'x,y,z'
loop_
_atom_site_label
_atom_site_fract_x
_atom_site_fract_y
_atom_site_fract_z
Mn1 0.5000 0.0000 0.0000
Mn2 0.0000 0.0000 0.5000
H1 0.5000 0.5000 0.5000
Ga1 0.0000 0.5000 0.0000
La1 0.0000 0.0000 0.0000
# SG   No. 123
# E   -4.066 eV/atom
# Theoretical density   3.8 g/cm3


The calculation returns the following total magnetic moment values, one per record and in order: 0.00 5.18 Bohr magnetons per cell.